1.
VASP calculation (PBE) on a relaxed structure of Al3Tl.

a = 3.045 Å, b = 3.770 Å, c = 7.383 Å
α = 90.00°, β = 97.68°, γ = 90.00°
Space group P2/m (No. 10)
Symmetry-distinct sites (fractional):
Al  0.000  0.000  0.000 x1
Al  0.446  0.500  0.802 x2
Tl  0.000  0.000  0.500 x1

Values from the calculation:
Electronic total energy = -3.19 eV per atom
ΔH_f (0 K) = 0.208 eV/atom
Theoretical density = 5.6 g/cm³
Energy above the lowest structure with this stoichiometry = 0.140 eV/f.u.

***

2.
VASP calculation (PBE) on a relaxed structure of CdHg2Te.

a = 3.446 Å, b = 3.446 Å, c = 9.279 Å
α = 90.00°, β = 90.00°, γ = 90.00°
Space group P4mm (No. 99)
Symmetry-distinct sites (fractional):
Cd  0.000  0.000  0.000 x1
Hg  0.000  0.000  0.466 x1
Hg  0.500  0.500  0.215 x1
Te  0.500  0.500  0.768 x1

Values from the calculation:
Uncorrected formation energy = 0.08 eV/atom
Electronic total energy = -1.09 eV per atom
Theoretical density = 9.7 g/cm³
Energy above the lowest structure with this stoichiometry = 0.691 eV/f.u.

***

3.
VASP calculation (PBE) on a relaxed structure of Sm8TmAl2.

a = 8.875 Å, b = 14.933 Å, c = 5.701 Å
α = 90.00°, β = 114.23°, γ = 90.00°
Space group C2/m (No. 12)
Symmetry-distinct sites (fractional):
Sm  0.000  0.224  0.000 x4
Sm  0.095  0.500  0.795 x4
Sm  0.206  0.118  0.611 x8
Tm  0.000  0.000  0.000 x2
Al  0.000  0.307  0.500 x4

Values from the calculation:
Electronic total energy = -4.51 eV per atom
ΔH_f (0 K) = 0.004 eV/atom
Theoretical density = 6.9 g/cm³

***

4.
VASP calculation (PBE) on a relaxed structure of PaCrC.

a = 3.4132 Å, b = 3.4132 Å, c = 4.2347 Å
α = 90.00°, β = 90.00°, γ = 120.00°
Space group P-6m2 (No. 187)
Symmetry-distinct sites (fractional):
Pa  0.0000  0.0000  0.0000 x1
Cr  0.6667  0.3333  0.5000 x1
C  0.3333  0.6667  0.5000 x1

Values from the calculation:
Electronic total energy = -9.36 eV per atom
ΔH_f (0 K) = 0.085 eV/atom
Theoretical density = 11.5 g/cm³
Energy above the lowest structure with this stoichiometry = 0.000 eV/f.u.

***

5.
VASP calculation (PBE) on a relaxed structure of HfCdGe2As.

a = 4.957 Å, b = 4.957 Å, c = 4.977 Å
α = 90.00°, β = 90.00°, γ = 90.00°
Space group P4/mmm (No. 123)
Symmetry-distinct sites (fractional):
Hf  0.000  0.000  0.000 x1
Cd  0.500  0.500  0.000 x1
Ge  0.000  0.500  0.500 x2
As  0.500  0.500  0.500 x1

Values from the calculation:
Electronic total energy = -4.11 eV per atom
ΔH_f (0 K) = 0.836 eV/atom
Theoretical density = 6.9 g/cm³

***

6.
VASP calculation (PBE) on a relaxed structure of GdHoPa4.

a = 8.696 Å, b = 8.696 Å, c = 8.696 Å
α = 90.00°, β = 90.00°, γ = 90.00°
Space group F-43m (No. 216)
Symmetry-distinct sites (fractional):
Gd  0.000  0.000  0.000 x4
Ho  0.250  0.250  0.250 x4
Pa  0.125  0.125  0.625 x16

Values from the calculation:
Electronic total energy = -9.21 eV per atom
ΔH_f (0 K) = 0.228 eV/atom
Theoretical density = 12.6 g/cm³